1.
# LiMnBeGa, optimized geometry, DFT PBE
# DFT total energy: -4.4160 eV/atom
# total magnetic moment: 0.929 μB/atom
# theoretical density: 4.79 Mg/m³
data_LiMnBeGa
_cell_length_a 5.8000
_cell_length_b 5.8000
_cell_length_c 5.8000
_cell_angle_alpha 90.00
_cell_angle_beta 90.00
_cell_angle_gamma 90.00
_symmetry_space_group_name_H-M 'F -4 3 m'
_symmetry_Int_Tables_number 216
_symmetry_space_group_name_Hall 'F -4 2 3'
loop_
_atom_site_label
_atom_site_type_symbol
_atom_site_fract_x
_atom_site_fract_y
_atom_site_fract_z
Li1 Li 0.0000 0.0000 0.0000
Mn1 Mn 0.2500 0.2500 0.7500
Be1 Be 0.0000 0.0000 0.5000
Ga1 Ga 0.2500 0.2500 0.2500

2.
# LiZnAsSe2, optimized geometry, DFT PBE
# total magnetic moment: 0.000 μB/atom
# theoretical density: 4.10 Mg/m³
# formation energy without anion corrections: 163 meV/atom
data_LiZnAsSe2
_cell_length_a 5.1216
_cell_length_b 5.1216
_cell_length_c 4.7069
_cell_angle_alpha 90.00
_cell_angle_beta 90.00
_cell_angle_gamma 90.00
_symmetry_space_group_name_H-M 'P 4/m m m'
_symmetry_Int_Tables_number 123
_symmetry_space_group_name_Hall '-P 4 2'
loop_
_atom_site_label
_atom_site_type_symbol
_atom_site_fract_x
_atom_site_fract_y
_atom_site_fract_z
Li1 Li 0.0000 0.0000 0.0000
Zn1 Zn 0.5000 0.5000 0.5000
As1 As 0.5000 0.5000 0.0000
Se1 Se 0.0000 0.5000 0.5000

3.
# UGeAu, optimized geometry, DFT PBE
# DFT total energy: -6.5815 eV/atom
# total magnetic moment: 0.893 μB/atom
# theoretical density: 13.07 Mg/m³
data_UGeAu
_cell_length_a 4.4737
_cell_length_b 4.4737
_cell_length_c 14.8892
_cell_angle_alpha 90.00
_cell_angle_beta 90.00
_cell_angle_gamma 120.00
_symmetry_space_group_name_H-M 'P 63/m m c'
_symmetry_Int_Tables_number 194
_symmetry_space_group_name_Hall '-P 6c 2c'
loop_
_atom_site_label
_atom_site_type_symbol
_atom_site_fract_x
_atom_site_fract_y
_atom_site_fract_z
U1 U 0.0000 0.0000 0.0000
U2 U 0.0000 0.0000 0.2500
Ge1 Ge 0.3333 0.6667 0.1115
Au1 Au 0.3333 0.6667 0.6415